# Zr2BeNbP meta-GGA SCAN single point on PBEsol structure
# * E_tot: -21.652 eV per atom
# * DOS(E_F): 2.8 states/eV/cell
# * calculated formation energy: 204.1 meV/atom
data_Zr2BeNbP
_cell_length_a 4.5760
_cell_length_b 4.5760
_cell_length_c 4.2566
_cell_angle_alpha 90.00
_cell_angle_beta 90.00
_cell_angle_gamma 90.00
_space_group_name_H-M_alt 'P 4/m m m'
_space_group_IT_number 123
_space_group_name_Hall '-P 4 2'
loop_
_atom_site_label
_atom_site_fract_x
_atom_site_fract_y
_atom_site_fract_z
Zr1 0.0000 0.5000 0.0000
Be1 0.0000 0.0000 0.0000
Nb1 0.0000 0.0000 0.5000
P1 0.5000 0.5000 0.5000